This record from the Alexandria database describes Sc2CdAg2 after structural relaxation. The functional is PBE.

Cell lengths 4.690, 4.690, 10.849 Å; angles 90.00, 90.00, 90.00 degrees
Space group I4/mmm (No. 139)
Asymmetric unit:
Sc 0.000 0.500 0.250 [4 per cell]
Cd 0.000 0.000 0.000 [2 per cell]
Ag 0.000 0.000 0.382 [4 per cell]

- Fermi-level density of states: 6.12 states/eV/cell
- Energy of formation: 0.08 eV/atom
- E: -3.774 eV/atom